No. 1
The following is a GGA-PBE calculation of a geometry-optimized ZnTePdO structure, from OQMD via LeMat-Bulk. Values from VASP.

**Energy above the lowest structure with this stoichiometry**: 0.181 eV per atom
**Calculated density**: 7.44 g/cm³

Cell and atoms, written as Quantum ESPRESSO input:
```
&SYSTEM
  ibrav = 0, nat = 8, ntyp = 4
/
ATOMIC_SPECIES
O 16.00 O.upf
Pd 106.42 Pd.upf
Te 127.60 Te.upf
Zn 65.41 Zn.upf
CELL_PARAMETERS angstrom
4.4659 0.0000 0.0000
0.0000 4.4659 0.0000
0.0000 0.0000 7.0587
ATOMIC_POSITIONS angstrom
O 3.3494 3.3494 3.3146
O 1.1165 1.1165 3.7441
Pd 3.3494 1.1165 0.0000
Pd 1.1165 3.3494 0.0000
Te 1.1165 1.1165 1.8256
Te 3.3494 3.3494 5.2331
Zn 3.3494 3.3494 1.4396
Zn 1.1165 1.1165 5.6192
```

No. 2
The following is a GGA-PBE calculation of a geometry-optimized ZnTePdO structure, from OQMD via LeMat-Bulk. Values from VASP.

**Energy above the lowest structure with this stoichiometry**: 0.449 eV per atom
**Calculated density**: 7.24 g/cm³

Cell and atoms, written as Quantum ESPRESSO input:
```
&SYSTEM
  ibrav = 0, nat = 8, ntyp = 4
/
ATOMIC_SPECIES
O 16.00 O.upf
Pd 106.42 Pd.upf
Te 127.60 Te.upf
Zn 65.41 Zn.upf
CELL_PARAMETERS angstrom
4.0928 0.0000 0.0000
0.0000 4.0928 0.0000
0.0000 0.0000 8.6351
ATOMIC_POSITIONS angstrom
O 3.0696 1.0232 4.3175
O 1.0232 3.0696 4.3175
Pd 3.0696 3.0696 3.8391
Pd 1.0232 1.0232 4.7959
Te 1.0232 1.0232 1.4507
Te 3.0696 3.0696 7.1844
Zn 3.0696 3.0696 1.2352
Zn 1.0232 1.0232 7.3999
```

No. 3
The following is a GGA-PBE calculation of a geometry-optimized ZnTePdO structure, from OQMD via LeMat-Bulk. Values from VASP.

**Energy above the lowest structure with this stoichiometry**: 0.037 eV per atom
**Calculated density**: 7.06 g/cm³

Cell and atoms, written as Quantum ESPRESSO input:
```
&SYSTEM
  ibrav = 0, nat = 32, ntyp = 4
/
ATOMIC_SPECIES
O 16.00 O.upf
Pd 106.42 Pd.upf
Te 127.60 Te.upf
Zn 65.41 Zn.upf
CELL_PARAMETERS angstrom
-4.8469 -0.2085 -3.9757
-5.8249 -10.3033 7.6417
-3.2345 4.5753 3.7033
ATOMIC_POSITIONS angstrom
O -5.8120 -2.2146 -0.9478
O -8.0115 -7.3355 3.4579
O -4.2664 -0.8687 2.0450
O -6.4658 -5.9897 6.4508
O -7.4406 0.0531 0.9186
O -9.6400 -5.0678 5.3244
O -5.8949 1.3990 3.9115
O -8.0943 -3.7219 8.3172
Pd -3.6328 -4.0987 2.2225
Pd -6.5968 -9.2526 6.0011
Pd -7.4974 -2.1644 1.8847
Pd -10.4614 -7.3183 5.6633
Pd -3.4450 1.3818 1.7061
Pd -6.4090 -3.7721 5.4847
Pd -7.3095 3.3161 1.3683
Pd -10.2736 -1.8378 5.1469
Te -3.2871 0.9229 -0.9703
Te -3.7943 -4.1253 4.8235
Te -5.7129 0.8220 -2.9555
Te -6.2200 -4.2262 2.8383
Te -7.6863 -1.7103 4.5310
Te -8.1935 -6.7585 10.3249
Te -10.1121 -1.8112 2.5459
Te -10.6193 -6.8594 8.3397
Zn -4.3571 -2.0616 0.4391
Zn -9.6606 -7.3161 2.2987
Zn -2.6494 -0.9450 3.2464
Zn -7.9529 -6.1995 5.1060
Zn -5.9535 0.2630 2.2634
Zn -11.2570 -4.9915 4.1230
Zn -4.2457 1.3796 5.0706
Zn -9.5492 -3.8749 6.9303
```

No. 4
The following is a GGA-PBE calculation of a geometry-optimized ZnTePdO structure, from OQMD via LeMat-Bulk. Values from VASP.

**Energy above the lowest structure with this stoichiometry**: 0.141 eV per atom
**Calculated density**: 7.24 g/cm³

Cell and atoms, written as Quantum ESPRESSO input:
```
&SYSTEM
  ibrav = 0, nat = 16, ntyp = 4
/
ATOMIC_SPECIES
O 16.00 O.upf
Pd 106.42 Pd.upf
Te 127.60 Te.upf
Zn 65.41 Zn.upf
CELL_PARAMETERS angstrom
-1.9684 -2.4283 3.9431
-3.1721 -4.5167 -4.3651
6.5611 -4.8730 0.2743
ATOMIC_POSITIONS angstrom
O -0.9950 -3.1066 1.3609
O -0.7199 -6.0685 -1.4462
O -0.0863 -8.7984 0.3995
O 4.6425 -5.6626 -0.6097
Pd -2.5643 -4.9704 -1.7033
Pd 0.5914 -4.5719 1.2630
Pd 3.0483 -4.2068 -0.4963
Pd 1.7658 -9.8869 0.6411
Te -3.4243 -7.1044 -0.1945
Te 0.7108 -3.4925 -1.2650
Te 2.9545 -5.2546 1.9804
Te 2.6003 -7.7844 -0.8164
Zn -0.7003 -1.4241 0.4660
Zn -0.4217 -6.9067 0.2646
Zn 0.3098 -7.1036 -2.7021
Zn 3.6535 -8.2016 1.6761
```

No. 5
The following is a GGA-PBE calculation of a geometry-optimized ZnTePdO structure, from OQMD via LeMat-Bulk. Values from VASP.

**Energy above the lowest structure with this stoichiometry**: 0.098 eV per atom
**Calculated density**: 7.21 g/cm³

Cell and atoms, written as Quantum ESPRESSO input:
```
&SYSTEM
  ibrav = 0, nat = 8, ntyp = 4
/
ATOMIC_SPECIES
O 16.00 O.upf
Pd 106.42 Pd.upf
Te 127.60 Te.upf
Zn 65.41 Zn.upf
CELL_PARAMETERS angstrom
1.8620 -6.7959 0.0000
1.8620 6.7959 0.0000
0.0000 0.0000 5.7386
ATOMIC_POSITIONS angstrom
O 1.8620 -1.0210 0.1150
O 1.8620 1.0210 2.9843
Pd 1.8620 4.3854 0.0520
Pd 1.8620 -4.3854 2.9214
Te 1.8620 -4.3149 0.1254
Te 1.8620 4.3149 2.9947
Zn 1.8620 -0.5657 1.9606
Zn 1.8620 0.5657 4.8299
```

No. 6
The following is a GGA-PBE calculation of a geometry-optimized ZnTePdO structure, from OQMD via LeMat-Bulk. Values from VASP.

**Energy above the lowest structure with this stoichiometry**: 0.161 eV per atom
**Calculated density**: 7.61 g/cm³

Cell and atoms, written as Quantum ESPRESSO input:
```
&SYSTEM
  ibrav = 0, nat = 8, ntyp = 4
/
ATOMIC_SPECIES
O 16.00 O.upf
Pd 106.42 Pd.upf
Te 127.60 Te.upf
Zn 65.41 Zn.upf
CELL_PARAMETERS angstrom
1.7061 -6.5381 0.0000
1.7061 6.5381 0.0000
0.0000 0.0000 6.1663
ATOMIC_POSITIONS angstrom
O 1.7061 5.0780 0.2610
O 1.7061 -5.0780 3.3441
Pd 1.7061 6.5330 1.8026
Pd 1.7061 -6.5330 4.8858
Te 1.7061 1.7414 0.2579
Te 1.7061 -1.7414 3.3410
Zn 1.7061 -2.4688 0.0994
Zn 1.7061 2.4688 3.1825
```

No. 7
The following is a GGA-PBE calculation of a geometry-optimized ZnTePdO structure, from OQMD via LeMat-Bulk. Values from VASP.

**Energy above the lowest structure with this stoichiometry**: 0.245 eV per atom
**Calculated density**: 7.22 g/cm³

Cell and atoms, written as Quantum ESPRESSO input:
```
&SYSTEM
  ibrav = 0, nat = 32, ntyp = 4
/
ATOMIC_SPECIES
O 16.00 O.upf
Pd 106.42 Pd.upf
Te 127.60 Te.upf
Zn 65.41 Zn.upf
CELL_PARAMETERS angstrom
6.4659 0.0000 0.0000
0.0000 10.8940 0.0000
0.0000 0.0000 8.2406
ATOMIC_POSITIONS angstrom
O 1.6259 3.0313 0.7783
O 1.6070 8.4783 0.7783
O 4.8588 3.0313 3.3420
O 4.8400 8.4783 3.3420
O 1.6259 2.4157 4.8986
O 1.6070 7.8627 4.8986
O 4.8588 2.4157 7.4623
O 4.8400 7.8627 7.4623
Pd 6.4586 3.0103 2.0337
Pd 3.2402 8.4573 2.0337
Pd 3.2257 3.0103 2.0866
Pd 0.0072 8.4573 2.0866
Pd 6.4586 2.4366 6.1541
Pd 3.2402 7.8836 6.1541
Pd 3.2257 2.4366 6.2069
Pd 0.0072 7.8836 6.2069
Te 6.1430 0.2816 2.0407
Te 3.5558 5.7286 2.0407
Te 2.9101 0.2816 2.0796
Te 0.3229 5.7286 2.0796
Te 6.1430 5.1654 6.1610
Te 3.5558 10.6124 6.1610
Te 2.9101 5.1654 6.1999
Te 0.3229 10.6124 6.1999
Zn 4.8521 4.0777 0.2033
Zn 4.8467 9.5247 0.2033
Zn 1.6192 4.0777 3.9170
Zn 1.6138 9.5247 3.9170
Zn 4.8521 1.3693 4.3236
Zn 4.8467 6.8163 4.3236
Zn 1.6192 1.3693 8.0374
Zn 1.6138 6.8163 8.0374
```

No. 8
The following is a GGA-PBE calculation of a geometry-optimized ZnTePdO structure, from OQMD via LeMat-Bulk. Values from VASP.

**Energy above the lowest structure with this stoichiometry**: 0.068 eV per atom
**Calculated density**: 6.76 g/cm³

Cell and atoms, written as Quantum ESPRESSO input:
```
&SYSTEM
  ibrav = 0, nat = 16, ntyp = 4
/
ATOMIC_SPECIES
O 16.00 O.upf
Pd 106.42 Pd.upf
Te 127.60 Te.upf
Zn 65.41 Zn.upf
CELL_PARAMETERS angstrom
-2.1649 -3.5532 4.7018
-3.2273 -3.1912 -3.8976
6.3422 -5.1900 -1.0020
ATOMIC_POSITIONS angstrom
O -0.6917 -3.1290 1.7097
O -0.9174 -5.6053 -0.6673
O -0.7249 -9.5312 0.6464
O 4.2341 -5.6035 -2.0842
Pd -2.4788 -3.5545 2.6659
Pd 0.2569 -5.7858 -2.3637
Pd -0.8143 -7.5701 -0.0134
Pd 4.9363 -6.9586 -0.6843
Te -2.3241 -3.5916 -3.5792
Te -0.9916 -6.8303 2.5605
Te 2.5787 -5.1114 1.3115
Te 2.6371 -8.3357 -0.6881
Zn -2.7886 -5.1256 -1.0832
Zn 0.0742 -4.7017 0.7907
Zn 3.5112 -3.9603 -1.2584
Zn 1.1034 -10.0813 1.1556
```

No. 9
The following is a GGA-PBE calculation of a geometry-optimized Tl2Pd2O3 structure, from OQMD via LeMat-Bulk. Values from VASP.

**Energy above the lowest structure with this stoichiometry**: 0.000 eV per atom
**Calculated density**: 9.79 g/cm³

Cell and atoms, written as Quantum ESPRESSO input:
```
&SYSTEM
  ibrav = 0, nat = 7, ntyp = 3
/
ATOMIC_SPECIES
O 16.00 O.upf
Pd 106.42 Pd.upf
Tl 204.38 Tl.upf
CELL_PARAMETERS angstrom
1.3942 -1.4980 4.7637
1.6215 -4.9215 0.1737
5.1375 -0.4130 0.5625
ATOMIC_POSITIONS angstrom
O 0.6971 -0.7490 2.3818
O 0.8107 -2.4607 0.0869
O 2.5687 -0.2065 0.2812
Pd 2.2227 -1.8627 1.4994
Pd 5.9304 -4.9698 4.0005
Tl 0.0000 0.0000 0.0000
Tl 4.0766 -3.4163 2.7499
```

Number 1: V 70.39 Å³/f.u.. Number 2: V 72.32 Å³/f.u.. Number 3: V 74.19 Å³/f.u.. Number 4: V 72.39 Å³/f.u.. Number 5: V 72.62 Å³/f.u.. Number 6: V 68.78 Å³/f.u.. Number 7: V 72.56 Å³/f.u.. Number 8: V 77.53 Å³/f.u.. Number 9: V 113.52 Å³/f.u..